Record 1
A relaxed structure of InAuI6, computed with GGA-PBE.

Results
For the spin magnetization, the calculation gives 0.00 μB per cell. As for the space group: C2/m, No. 12. The calculation puts the polymorph energy (0 for the lowest one) at 0.000 eV/atom. The calculation puts the total energy at -2.15 eV/atom.

a b c (Å): 9.429 6.652 8.095
angles (deg): 95.07 97.16 44.87
Element x y z (fractional)
I 0.707 0.000 0.553
I 0.722 0.410 0.207
In 0.000 0.000 0.500
I 0.133 0.590 0.207
I 0.293 0.000 0.447
I 0.278 0.590 0.793
Au 0.000 0.000 0.000
I 0.867 0.410 0.793

***

Record 2
A relaxed structure of Sr2GeRhSe, computed with GGA-PBE.

Results
For the spin magnetization, the calculation gives 0.00 μB per cell. As for the space group: P4/mmm, No. 123. The calculation puts the total energy at -4.53 eV/atom.

a b c (Å): 5.732 4.620 5.732
angles (deg): 90.00 90.00 90.00
Element x y z (fractional)
Sr 0.500 0.000 0.000
Sr 0.000 0.000 0.500
Rh 0.000 0.000 0.000
Se 0.500 0.500 0.500
Ge 0.000 0.500 0.000

***

Record 3
A relaxed structure of Rb2MgTl2, computed with GGA-PBE.

Results
For the spin magnetization, the calculation gives 0.00 μB per cell. As for the space group: R-3m, No. 166. The calculation puts the polymorph energy (0 for the lowest one) at 0.000 eV/atom. The calculation puts the total energy at -1.71 eV/atom. The calculated formation energy comes out at -0.053 eV/atom.

a b c (Å): 5.057 5.057 11.613
angles (deg): 77.43 77.43 60.00
Element x y z (fractional)
Mg 0.000 0.000 0.000
Rb 0.570 0.570 0.289
Rb 0.430 0.430 0.711
Tl 0.694 0.694 0.917
Tl 0.306 0.306 0.083

***

Q: Among the records above, which one has the lowest total energy?
A: Sr2GeRhSe